(1)
! BeCr2Mo GGA-PBEsol relaxed; values from VASP
&SYSTEM
  ibrav = 0, nat = 8, ntyp = 3
/
ATOMIC_SPECIES
Be 9.01 Be.upf
Cr 52.00 Cr.upf
Mo 95.94 Mo.upf
CELL_PARAMETERS angstrom
2.939 0.000 0.000
0.000 4.027 0.000
0.000 0.000 7.921
ATOMIC_POSITIONS crystal
Be 0.000 0.000 0.000
Be 0.500 0.500 0.500
Cr 0.000 0.000 0.482
Cr 0.000 0.500 0.754
Cr 0.500 0.000 0.254
Cr 0.500 0.500 0.982
Mo 0.000 0.500 0.233
Mo 0.500 0.000 0.733
! VASP energy ... -8.908 eV per atom
! Total moment ... 0.00 Bohr magnetons per cell
! Calculated formation energy ... 155 meV per atom



(2)
! Mn3Mo GGA-PBEsol relaxed; values from VASP
&SYSTEM
  ibrav = 0, nat = 4, ntyp = 2
/
ATOMIC_SPECIES
Mn 54.94 Mn.upf
Mo 95.94 Mo.upf
CELL_PARAMETERS angstrom
2.571 0.000 0.000
-1.285 2.226 0.000
0.000 0.000 8.203
ATOMIC_POSITIONS crystal
Mn 0.000 0.000 0.000
Mn 0.333 0.667 0.228
Mn 0.333 0.667 0.772
Mo 0.000 0.000 0.500
! VASP energy ... -9.990 eV per atom
! Total moment ... 0.20 Bohr magnetons per cell
! Calculated formation energy ... 273 meV per atom